Version i
# Tl2PPt, optimized geometry, DFT GGA-PBE
# calculated volume: 26.20 Å³ per atom
data_Tl2PPt
_chemical_formula_sum 'Tl2 P1 Pt1'
_cell_length_a 4.954
_cell_length_b 4.954
_cell_length_c 7.042
_cell_angle_alpha 66.31
_cell_angle_beta 66.31
_cell_angle_gamma 42.20
_space_group_name_H-M_alt 'P 1'
_space_group_IT_number 1
loop_
_space_group_symop_operation_xyz
'x,y,z'
loop_
_atom_site_label
_atom_site_type_symbol
_atom_site_fract_x
_atom_site_fract_y
_atom_site_fract_z
P1 P 0.405 0.405 0.521
Tl1 Tl 0.202 0.202 0.302
Tl2 Tl 0.052 0.052 0.936
Pt1 Pt 0.841 0.841 0.741

Version ii
# Tl2PPt, optimized geometry, DFT GGA-PBE
# calculated volume: 21.98 Å³ per atom
data_Tl2PPt
_chemical_formula_sum 'Tl2 P1 Pt1'
_cell_length_a 3.793
_cell_length_b 4.115
_cell_length_c 5.633
_cell_angle_alpha 90.00
_cell_angle_beta 90.00
_cell_angle_gamma 90.00
_space_group_name_H-M_alt 'P 1'
_space_group_IT_number 1
loop_
_space_group_symop_operation_xyz
'x,y,z'
loop_
_atom_site_label
_atom_site_type_symbol
_atom_site_fract_x
_atom_site_fract_y
_atom_site_fract_z
P1 P 0.500 0.500 0.000
Tl1 Tl 0.000 0.000 0.000
Tl2 Tl 0.000 0.500 0.500
Pt1 Pt 0.500 0.000 0.500

Version iii
# Tl2PPt, optimized geometry, DFT GGA-PBE
# calculated volume: 21.44 Å³ per atom
data_Tl2PPt
_chemical_formula_sum 'Tl2 P1 Pt1'
_cell_length_a 4.950
_cell_length_b 4.950
_cell_length_c 4.950
_cell_angle_alpha 60.00
_cell_angle_beta 60.00
_cell_angle_gamma 60.00
_space_group_name_H-M_alt 'P 1'
_space_group_IT_number 1
loop_
_space_group_symop_operation_xyz
'x,y,z'
loop_
_atom_site_label
_atom_site_type_symbol
_atom_site_fract_x
_atom_site_fract_y
_atom_site_fract_z
Tl1 Tl 0.750 0.750 0.750
Tl2 Tl 0.000 0.000 0.000
P1 P 0.500 0.500 0.500
Pt1 Pt 0.250 0.250 0.250

Short version: version i is the most stable of them.

Version i
# Tl2PPt, optimized geometry, DFT GGA-PBE
# calculated volume: 22.47 Å³ per atom
data_Tl2PPt
_chemical_formula_sum 'Tl2 P1 Pt1'
_cell_length_a 7.046
_cell_length_b 7.046
_cell_length_c 7.046
_cell_angle_alpha 32.51
_cell_angle_beta 32.51
_cell_angle_gamma 32.51
_space_group_name_H-M_alt 'P 1'
_space_group_IT_number 1
loop_
_space_group_symop_operation_xyz
'x,y,z'
loop_
_atom_site_label
_atom_site_type_symbol
_atom_site_fract_x
_atom_site_fract_y
_atom_site_fract_z
Tl1 Tl 0.249 0.249 0.249
Tl2 Tl 0.751 0.751 0.751
Pt1 Pt 0.000 0.000 0.000
P1 P 0.500 0.500 0.500

Version ii
# Tl2PPt, optimized geometry, DFT GGA-PBE
# calculated volume: 25.54 Å³ per atom
data_Tl2PPt
_chemical_formula_sum 'Tl2 P1 Pt1'
_cell_length_a 7.306
_cell_length_b 7.306
_cell_length_c 7.306
_cell_angle_alpha 152.50
_cell_angle_beta 145.32
_cell_angle_gamma 44.82
_space_group_name_H-M_alt 'P 1'
_space_group_IT_number 1
loop_
_space_group_symop_operation_xyz
'x,y,z'
loop_
_atom_site_label
_atom_site_type_symbol
_atom_site_fract_x
_atom_site_fract_y
_atom_site_fract_z
P1 P 0.573 0.573 0.000
Tl1 Tl 0.973 0.973 0.000
Tl2 Tl 0.271 0.771 0.500
Pt1 Pt 0.683 0.183 0.500

Version iii
# Tl2PPt, optimized geometry, DFT GGA-PBE
# calculated volume: 22.11 Å³ per atom
data_Tl2PPt
_chemical_formula_sum 'Tl2 P1 Pt1'
_cell_length_a 3.830
_cell_length_b 4.238
_cell_length_c 5.810
_cell_angle_alpha 69.68
_cell_angle_beta 90.00
_cell_angle_gamma 90.00
_space_group_name_H-M_alt 'P 1'
_space_group_IT_number 1
loop_
_space_group_symop_operation_xyz
'x,y,z'
loop_
_atom_site_label
_atom_site_type_symbol
_atom_site_fract_x
_atom_site_fract_y
_atom_site_fract_z
Tl1 Tl 0.000 0.247 0.751
Tl2 Tl 0.000 0.753 0.249
Pt1 Pt 0.500 0.500 0.000
P1 P 0.500 0.000 0.500

Short version: version ii is the most stable of them.

Version i
# Tl2PPt, optimized geometry, DFT GGA-PBE
# calculated volume: 29.57 Å³ per atom
data_Tl2PPt
_chemical_formula_sum 'Tl4 P2 Pt2'
_cell_length_a 6.399
_cell_length_b 6.399
_cell_length_c 7.338
_cell_angle_alpha 64.15
_cell_angle_beta 64.15
_cell_angle_gamma 90.00
_space_group_name_H-M_alt 'P 1'
_space_group_IT_number 1
loop_
_space_group_symop_operation_xyz
'x,y,z'
loop_
_atom_site_label
_atom_site_type_symbol
_atom_site_fract_x
_atom_site_fract_y
_atom_site_fract_z
Pt1 Pt 0.750 0.250 0.500
Pt2 Pt 0.000 0.000 0.000
P1 P 0.250 0.750 0.500
P2 P 0.500 0.500 0.000
Tl1 Tl 0.875 0.868 0.750
Tl2 Tl 0.132 0.625 0.250
Tl3 Tl 0.618 0.125 0.250
Tl4 Tl 0.375 0.382 0.750

Version ii
# Tl2PPt, optimized geometry, DFT GGA-PBE
# calculated volume: 24.92 Å³ per atom
data_Tl2PPt
_chemical_formula_sum 'Tl2 P1 Pt1'
_cell_length_a 3.916
_cell_length_b 5.469
_cell_length_c 5.469
_cell_angle_alpha 58.35
_cell_angle_beta 90.00
_cell_angle_gamma 90.00
_space_group_name_H-M_alt 'P 1'
_space_group_IT_number 1
loop_
_space_group_symop_operation_xyz
'x,y,z'
loop_
_atom_site_label
_atom_site_type_symbol
_atom_site_fract_x
_atom_site_fract_y
_atom_site_fract_z
Tl1 Tl 0.000 0.061 0.061
Tl2 Tl 0.500 0.698 0.698
P1 P 0.000 0.433 0.433
Pt1 Pt 0.500 0.307 0.307

Version iii
# Tl2PPt, optimized geometry, DFT GGA-PBE
# calculated volume: 21.28 Å³ per atom
data_Tl2PPt
_chemical_formula_sum 'Tl2 P1 Pt1'
_cell_length_a 3.251
_cell_length_b 3.251
_cell_length_c 8.055
_cell_angle_alpha 90.00
_cell_angle_beta 90.00
_cell_angle_gamma 90.00
_space_group_name_H-M_alt 'P 1'
_space_group_IT_number 1
loop_
_space_group_symop_operation_xyz
'x,y,z'
loop_
_atom_site_label
_atom_site_type_symbol
_atom_site_fract_x
_atom_site_fract_y
_atom_site_fract_z
P1 P 0.500 0.500 0.000
Tl1 Tl 0.000 0.000 0.743
Tl2 Tl 0.000 0.000 0.257
Pt1 Pt 0.500 0.500 0.500

Version iv
# Tl2PPt, optimized geometry, DFT GGA-PBE
# calculated volume: 21.92 Å³ per atom
data_Tl2PPt
_chemical_formula_sum 'Tl2 P1 Pt1'
_cell_length_a 5.498
_cell_length_b 5.498
_cell_length_c 3.046
_cell_angle_alpha 77.39
_cell_angle_beta 77.39
_cell_angle_gamma 86.87
_space_group_name_H-M_alt 'P 1'
_space_group_IT_number 1
loop_
_space_group_symop_operation_xyz
'x,y,z'
loop_
_atom_site_label
_atom_site_type_symbol
_atom_site_fract_x
_atom_site_fract_y
_atom_site_fract_z
Tl1 Tl 0.500 0.000 0.000
Tl2 Tl 0.000 0.500 0.000
P1 P 0.000 0.000 0.500
Pt1 Pt 0.500 0.500 0.500

Short version: version ii is the most stable of them.